(1)
The following is a DFT calculation (PBE) of crystalline Ce5PrSe6 at its relaxed geometry.

Calculated values
* Fermi-level density of states: 30.5 states/eV per cell
* crystal system: monoclinic
* symmetry: C2/m, No. 12
* formation energy (no corrections): -1.825 eV per atom

```
data_Ce5PrSe6
_chemical_formula_sum 'Ce5 Pr1 Se6'
_space_group_name_H-M_alt 'P 1'
_space_group_IT_number 1
_cell_length_a 7.298
_cell_length_b 7.298
_cell_length_c 7.297
_cell_angle_alpha 99.60
_cell_angle_beta 99.60
_cell_angle_gamma 120.04
loop_
_space_group_symop_operation_xyz
'x,y,z'
loop_
_atom_site_label
_atom_site_type_symbol
_atom_site_fract_x
_atom_site_fract_y
_atom_site_fract_z
Pr1 Pr 0.000 0.000 0.000
Se1 Se 0.420 0.084 0.252
Se2 Se 0.916 0.580 0.748
Se3 Se 0.252 0.252 0.749
Se4 Se 0.748 0.748 0.251
Se5 Se 0.084 0.420 0.252
Se6 Se 0.580 0.916 0.748
Ce1 Ce 0.835 0.165 0.500
Ce2 Ce 0.667 0.333 0.000
Ce3 Ce 0.500 0.500 0.500
Ce4 Ce 0.333 0.667 0.000
Ce5 Ce 0.165 0.835 0.500
```

***

(2)
The following is a DFT calculation (PBE) of crystalline ZrMo2Pt at its relaxed geometry.

Calculated values
* Fermi-level density of states: 2.9 states/eV per cell
* crystal system: monoclinic
* symmetry: Cm, No. 8
* formation energy from the elements: -0.09 eV per atom
* excess energy over the best structure of this formula in the dataset: 4.084 kcal/mol of atoms

```
data_ZrMo2Pt
_chemical_formula_sum 'Zr1 Mo2 Pt1'
_space_group_name_H-M_alt 'P 1'
_space_group_IT_number 1
_cell_length_a 5.007
_cell_length_b 5.007
_cell_length_c 5.207
_cell_angle_alpha 83.55
_cell_angle_beta 83.55
_cell_angle_gamma 32.07
loop_
_space_group_symop_operation_xyz
'x,y,z'
loop_
_atom_site_label
_atom_site_type_symbol
_atom_site_fract_x
_atom_site_fract_y
_atom_site_fract_z
Mo1 Mo 0.994 0.994 0.032
Mo2 Mo 0.235 0.235 0.227
Pt1 Pt 0.508 0.508 0.515
Zr1 Zr 0.762 0.762 0.726
```

***

(3)
The following is a DFT calculation (PBE) of crystalline Tb2TmPd9 at its relaxed geometry.

Calculated values
* Fermi-level density of states: 9.1 states/eV per cell
* crystal system: tetragonal
* symmetry: P4/mmm, No. 123
* formation energy from the elements: -0.88 eV per atom

```
data_Tb2TmPd9
_chemical_formula_sum 'Tb2 Tm1 Pd9'
_space_group_name_H-M_alt 'P 1'
_space_group_IT_number 1
_cell_length_a 4.122
_cell_length_b 4.122
_cell_length_c 12.355
_cell_angle_alpha 90.00
_cell_angle_beta 90.00
_cell_angle_gamma 90.00
loop_
_space_group_symop_operation_xyz
'x,y,z'
loop_
_atom_site_label
_atom_site_type_symbol
_atom_site_fract_x
_atom_site_fract_y
_atom_site_fract_z
Tb1 Tb 0.000 0.000 0.332
Tb2 Tb 0.000 0.000 0.668
Tm1 Tm 0.000 0.000 0.000
Pd1 Pd 0.500 0.500 0.000
Pd2 Pd 0.500 0.500 0.333
Pd3 Pd 0.500 0.500 0.667
Pd4 Pd 0.500 0.000 0.164
Pd5 Pd 0.500 0.000 0.500
Pd6 Pd 0.500 0.000 0.836
Pd7 Pd 0.000 0.500 0.164
Pd8 Pd 0.000 0.500 0.500
Pd9 Pd 0.000 0.500 0.836
```

***

(4)
The following is a DFT calculation (PBE) of crystalline Tl6PbSe4 at its relaxed geometry.

Calculated values
* crystal system: hexagonal
* symmetry: P6_3mc, No. 186
* formation energy (no corrections): -0.354 eV per atom

```
data_Tl6PbSe4
_chemical_formula_sum 'Tl12 Pb2 Se8'
_space_group_name_H-M_alt 'P 1'
_space_group_IT_number 1
_cell_length_a 7.205
_cell_length_b 10.905
_cell_length_c 10.905
_cell_angle_alpha 120.00
_cell_angle_beta 90.00
_cell_angle_gamma 90.00
loop_
_space_group_symop_operation_xyz
'x,y,z'
loop_
_atom_site_label
_atom_site_type_symbol
_atom_site_fract_x
_atom_site_fract_y
_atom_site_fract_z
Tl1 Tl 0.444 0.693 0.846
Tl2 Tl 0.444 0.154 0.307
Tl3 Tl 0.444 0.154 0.846
Tl4 Tl 0.944 0.307 0.154
Tl5 Tl 0.944 0.846 0.693
Tl6 Tl 0.944 0.846 0.154
Tl7 Tl 0.626 0.944 0.472
Tl8 Tl 0.626 0.528 0.056
Tl9 Tl 0.626 0.528 0.472
Tl10 Tl 0.126 0.056 0.528
Tl11 Tl 0.126 0.472 0.944
Tl12 Tl 0.126 0.472 0.528
Pb1 Pb 0.759 0.333 0.667
Pb2 Pb 0.259 0.667 0.333
Se1 Se 0.352 0.333 0.667
Se2 Se 0.852 0.667 0.333
Se3 Se 0.890 0.634 0.817
Se4 Se 0.890 0.183 0.366
Se5 Se 0.890 0.183 0.817
Se6 Se 0.390 0.366 0.183
Se7 Se 0.390 0.817 0.634
Se8 Se 0.390 0.817 0.183
```

***

(5)
The following is a DFT calculation (PBE) of crystalline Ac2Pr4Nd5 at its relaxed geometry.

Calculated values
* Fermi-level density of states: 14.2 states/eV per cell
* crystal system: monoclinic
* symmetry: C2/m, No. 12
* formation energy from the elements: 0.13 eV per atom
* excess energy over the best structure of this formula in the dataset: 0.000 kcal/mol of atoms

```
data_Ac2Pr4Nd5
_chemical_formula_sum 'Ac2 Pr4 Nd5'
_space_group_name_H-M_alt 'P 1'
_space_group_IT_number 1
_cell_length_a 7.048
_cell_length_b 7.457
_cell_length_c 9.547
_cell_angle_alpha 80.32
_cell_angle_beta 68.34
_cell_angle_gamma 61.80
loop_
_space_group_symop_operation_xyz
'x,y,z'
loop_
_atom_site_label
_atom_site_type_symbol
_atom_site_fract_x
_atom_site_fract_y
_atom_site_fract_z
Ac1 Ac 0.325 0.608 0.741
Ac2 Ac 0.675 0.392 0.259
Pr1 Pr 0.269 0.992 0.469
Pr2 Pr 0.731 0.008 0.531
Pr3 Pr 0.738 0.649 0.875
Pr4 Pr 0.262 0.351 0.125
Nd1 Nd 0.247 0.145 0.833
Nd2 Nd 0.753 0.855 0.167
Nd3 Nd 0.000 0.500 0.500
Nd4 Nd 0.775 0.145 0.833
Nd5 Nd 0.225 0.855 0.167
```

***

(6)
The following is a DFT calculation (PBE) of crystalline DyZn2Au8 at its relaxed geometry.

Calculated values
* Fermi-level density of states: 3.1 states/eV per cell
* crystal system: monoclinic
* symmetry: C2/m, No. 12
* formation energy from the elements: -0.29 eV per atom
* excess energy over the best structure of this formula in the dataset: 1.133 kcal/mol of atoms

```
data_DyZn2Au8
_chemical_formula_sum 'Dy1 Zn2 Au8'
_space_group_name_H-M_alt 'P 1'
_space_group_IT_number 1
_cell_length_a 4.646
_cell_length_b 7.468
_cell_length_c 7.468
_cell_angle_alpha 115.04
_cell_angle_beta 103.59
_cell_angle_gamma 103.59
loop_
_space_group_symop_operation_xyz
'x,y,z'
loop_
_atom_site_label
_atom_site_type_symbol
_atom_site_fract_x
_atom_site_fract_y
_atom_site_fract_z
Dy1 Dy 0.500 0.000 0.000
Zn1 Zn 0.000 0.320 0.680
Zn2 Zn 0.000 0.680 0.320
Au1 Au 0.878 0.928 0.675
Au2 Au 0.878 0.675 0.928
Au3 Au 0.328 0.606 0.606
Au4 Au 0.500 0.770 0.230
Au5 Au 0.500 0.230 0.770
Au6 Au 0.672 0.394 0.394
Au7 Au 0.122 0.325 0.072
Au8 Au 0.122 0.072 0.325
```

***

(7)
The following is a DFT calculation (PBE) of crystalline Na4CdHg2 at its relaxed geometry.

Calculated values
* Fermi-level density of states: 5.1 states/eV per cell
* crystal system: monoclinic
* symmetry: P2_1/m, No. 11
* formation energy from the elements: -0.13 eV per atom
* excess energy over the best structure of this formula in the dataset: 0.785 kcal/mol of atoms

```
data_Na4CdHg2
_chemical_formula_sum 'Na8 Cd2 Hg4'
_space_group_name_H-M_alt 'P 1'
_space_group_IT_number 1
_cell_length_a 7.906
_cell_length_b 6.201
_cell_length_c 8.829
_cell_angle_alpha 90.00
_cell_angle_beta 112.83
_cell_angle_gamma 90.00
loop_
_space_group_symop_operation_xyz
'x,y,z'
loop_
_atom_site_label
_atom_site_type_symbol
_atom_site_fract_x
_atom_site_fract_y
_atom_site_fract_z
Na1 Na 0.588 0.493 0.219
Na2 Na 0.828 0.750 0.699
Na3 Na 0.172 0.250 0.301
Na4 Na 0.588 0.007 0.219
Na5 Na 0.977 0.250 0.598
Na6 Na 0.412 0.993 0.781
Na7 Na 0.412 0.507 0.781
Na8 Na 0.023 0.750 0.402
Cd1 Cd 0.188 0.750 0.061
Cd2 Cd 0.812 0.250 0.939
Hg1 Hg 0.790 0.750 0.029
Hg2 Hg 0.210 0.250 0.971
Hg3 Hg 0.580 0.250 0.557
Hg4 Hg 0.420 0.750 0.443
```

***

(8)
The following is a DFT calculation (PBE) of crystalline AcSiH at its relaxed geometry.

Calculated values
* Fermi-level density of states: 1.5 states/eV per cell
* crystal system: trigonal
* symmetry: P3m1, No. 156
* excess energy over the best structure of this formula in the dataset: 16.208 kcal/mol of atoms

```
data_AcSiH
_chemical_formula_sum 'Ac1 Si1 H1'
_space_group_name_H-M_alt 'P 1'
_space_group_IT_number 1
_cell_length_a 4.110
_cell_length_b 4.212
_cell_length_c 4.212
_cell_angle_alpha 120.00
_cell_angle_beta 90.00
_cell_angle_gamma 90.00
loop_
_space_group_symop_operation_xyz
'x,y,z'
loop_
_atom_site_label
_atom_site_type_symbol
_atom_site_fract_x
_atom_site_fract_y
_atom_site_fract_z
H1 H 0.120 0.000 0.000
Ac1 Ac 0.705 0.667 0.333
Si1 Si 0.176 0.333 0.667
```

***

(9)
The following is a DFT calculation (PBE) of crystalline SrMgZr2 at its relaxed geometry.

Calculated values
* Fermi-level density of states: 4.9 states/eV per cell
* crystal system: orthorhombic
* symmetry: Cmmm, No. 65
* formation energy from the elements: 0.48 eV per atom

```
data_SrMgZr2
_chemical_formula_sum 'Sr1 Mg1 Zr2'
_space_group_name_H-M_alt 'P 1'
_space_group_IT_number 1
_cell_length_a 6.224
_cell_length_b 6.224
_cell_length_c 3.072
_cell_angle_alpha 90.00
_cell_angle_beta 90.00
_cell_angle_gamma 116.49
loop_
_space_group_symop_operation_xyz
'x,y,z'
loop_
_atom_site_label
_atom_site_type_symbol
_atom_site_fract_x
_atom_site_fract_y
_atom_site_fract_z
Mg1 Mg 0.500 0.000 0.500
Sr1 Sr 0.000 0.500 0.500
Zr1 Zr 0.000 0.000 0.000
Zr2 Zr 0.500 0.500 0.000
```

***

(10)
The following is a DFT calculation (PBE) of crystalline NaP3Pt12Pb2 at its relaxed geometry.

Calculated values
* Fermi-level density of states: 5.2 states/eV per cell
* crystal system: trigonal
* symmetry: R-3m, No. 166
* formation energy from the elements: -0.14 eV per atom

```
data_NaP3Pt12Pb2
_chemical_formula_sum 'Na1 P3 Pt12 Pb2'
_space_group_name_H-M_alt 'P 1'
_space_group_IT_number 1
_cell_length_a 7.410
_cell_length_b 7.410
_cell_length_c 7.410
_cell_angle_alpha 68.36
_cell_angle_beta 68.36
_cell_angle_gamma 68.36
loop_
_space_group_symop_operation_xyz
'x,y,z'
loop_
_atom_site_label
_atom_site_type_symbol
_atom_site_fract_x
_atom_site_fract_y
_atom_site_fract_z
Na1 Na 0.000 0.000 0.000
P1 P 0.500 0.000 0.000
P2 P 0.000 0.500 0.000
P3 P 0.000 0.000 0.500
Pt1 Pt 0.353 0.353 0.895
Pt2 Pt 0.854 0.854 0.391
Pt3 Pt 0.391 0.854 0.854
Pt4 Pt 0.895 0.353 0.353
Pt5 Pt 0.854 0.391 0.854
Pt6 Pt 0.353 0.895 0.353
Pt7 Pt 0.647 0.647 0.105
Pt8 Pt 0.146 0.146 0.609
Pt9 Pt 0.609 0.146 0.146
Pt10 Pt 0.105 0.647 0.647
Pt11 Pt 0.146 0.609 0.146
Pt12 Pt 0.647 0.105 0.647
Pb1 Pb 0.603 0.603 0.603
Pb2 Pb 0.397 0.397 0.397
```

***

no.,total moment (μB per formula unit)
1,4.6
2,0.0
3,0.0
4,0.0
5,0.0
6,0.0
7,0.0
8,0.0
9,0.0
10,0.0